PBE-GGA AcBiPd4, optimized geometry; energy = -5.32 eV per atom; total magnetization = 0.00 μB per atom; crystal system = cubic; ΔE to the lowest computed polymorph = 0.044 eV per atom; ΔH_f (0 K) = -0.5285 eV/atom
1.0
5.5959 0.0000 0.0000
2.7980 4.8462 0.0000
2.7980 1.6154 4.5691
Pd Bi Ac
4 1 1
direct
0.6251 0.1246 0.6251
0.6251 0.6251 0.6251
0.1246 0.6251 0.6251
0.6251 0.6251 0.1246
0.0000 0.0000 0.0000
0.2500 0.2500 0.2500



PBE-GGA AcBiPd2, optimized geometry; energy = -5.05 eV per atom; total magnetization = 0.00 μB per atom; crystal system = tetragonal; ΔH_f (0 K) = -0.4610 eV/atom
1.0
3.7556 0.0000 0.0000
0.0000 3.7556 0.0000
0.0000 0.0000 6.9659
Bi Pd Ac
1 2 1
direct
0.5000 0.5000 0.0000
0.0000 0.0000 0.2253
0.0000 0.0000 0.7747
0.5000 0.5000 0.5000



PBE-GGA AcBi12Pd4, optimized geometry; energy = -4.47 eV per atom; total magnetization = 0.00 μB per atom; crystal system = cubic; ΔH_f (0 K) = -0.2646 eV/atom
1.0
-0.6721 -2.2057 8.3753
2.7033 -6.8600 -4.5931
5.7222 6.4822 -0.8371
Bi Pd Ac
12 4 1
direct
0.8402 0.3379 0.1781
0.4977 0.1598 0.3379
0.8219 0.1598 0.6621
0.6621 0.5023 0.8402
0.3379 0.1781 0.8402
0.6621 0.8219 0.1598
0.3379 0.4977 0.1598
0.5023 0.8402 0.6621
0.8402 0.6621 0.5023
0.1598 0.6621 0.8219
0.1598 0.3379 0.4977
0.1781 0.8402 0.3379
0.0000 0.0000 0.5000
0.5000 0.0000 0.0000
0.5000 0.5000 0.5000
0.0000 0.5000 0.0000
0.0000 0.0000 0.0000



PBE-GGA AcBi3Pd, optimized geometry; energy = -4.66 eV per atom; total magnetization = 0.00 μB per atom; crystal system = monoclinic; ΔE to the lowest computed polymorph = 0.000 eV per atom; ΔH_f (0 K) = -0.4743 eV/atom
1.0
6.8546 -0.0003 -0.0001
0.0001 6.4077 0.0002
0.0001 0.0022 7.0149
Bi Ac Pd
6 2 2
direct
0.3553 0.2450 0.2021
0.8552 0.1078 0.6994
0.9849 0.5348 0.9517
0.9849 0.5366 0.4493
0.4848 0.8161 0.4523
0.4849 0.8180 0.9498
0.8933 0.0375 0.1996
0.3932 0.3153 0.7019
0.1599 0.8339 0.7022
0.6599 0.5189 0.1994



PBE-GGA AcBiPd2, optimized geometry; energy = -5.16 eV per atom; total magnetization = 0.00 μB per atom; crystal system = tetragonal; ΔH_f (0 K) = -0.5626 eV/atom
1.0
3.9626 0.0000 0.0000
0.0000 4.9689 0.0000
0.0000 0.0000 4.9689
Ac Pd Bi
1 2 1
direct
0.5000 0.5000 0.5000
0.0000 0.0000 0.5000
0.0000 0.5000 0.0000
0.5000 0.0000 0.0000



PBE-GGA Ac2BiPd5, optimized geometry; energy = -5.45 eV per atom; total magnetization = 0.00 μB per atom; crystal system = tetragonal; ΔH_f (0 K) = -0.6902 eV/atom
1.0
6.3428 0.1034 0.1473
-3.0328 5.5717 -0.1473
-3.0328 -2.0339 5.1893
Bi Pd Ac
1 5 2
direct
0.0000 0.9338 0.9338
0.4184 0.7167 0.7167
0.5816 0.2983 0.2983
0.0000 0.2983 0.7167
0.0000 0.2607 0.2607
0.0000 0.7167 0.2983
0.5000 0.2487 0.7487
0.5000 0.7487 0.2487



PBE-GGA AcBiPd4, optimized geometry; energy = -5.26 eV per atom; total magnetization = 0.00 μB per atom; crystal system = orthorhombic; ΔE to the lowest computed polymorph = 0.109 eV per atom; ΔH_f (0 K) = -0.4628 eV/atom
1.0
-4.2495 0.1995 -1.3928
-1.4443 -4.2346 3.8001
0.0350 7.2837 8.1298
Bi Ac Pd
2 2 8
direct
0.1028 0.7500 0.2056
0.8972 0.2500 0.7944
0.6188 0.2500 0.2375
0.3812 0.7500 0.7625
0.0000 0.0000 0.0000
0.0000 0.5000 0.0000
0.3230 0.2500 0.6460
0.7886 0.9876 0.5771
0.6770 0.7500 0.3540
0.7886 0.5124 0.5771
0.2114 0.0124 0.4229
0.2114 0.4876 0.4229



PBE-GGA Ac2BiPd6, optimized geometry; energy = -5.47 eV per atom; total magnetization = 0.00 μB per atom; crystal system = monoclinic; ΔE to the lowest computed polymorph = 0.006 eV per atom; ΔH_f (0 K) = -0.6671 eV/atom
1.0
6.1273 0.0000 0.0000
-3.0636 5.0770 1.0849
0.0000 0.0472 6.3658
Pd Ac Bi
6 2 1
direct
0.8754 0.7508 0.6645
0.4140 0.2789 0.6783
0.1246 0.2492 0.3355
0.5860 0.7211 0.3217
0.8649 0.2789 0.6783
0.1351 0.7211 0.3217
0.6383 0.2766 0.1905
0.3617 0.7234 0.8095
0.0000 0.0000 0.0000



PBE-GGA AcBiPd, optimized geometry; energy = -5.26 eV per atom; total magnetization = 0.00 μB per atom; crystal system = trigonal; ΔE to the lowest computed polymorph = 0.049 eV per atom; ΔH_f (0 K) = -0.8698 eV/atom
1.0
4.4277 0.0000 0.0000
0.0000 4.7877 0.0000
0.0000 -2.3938 4.1462
Pd Ac Bi
1 1 1
direct
0.1964 0.6667 0.3333
0.6561 0.3333 0.6667
0.1475 0.0000 0.0000



PBE-GGA AcBiPd, optimized geometry; energy = -4.91 eV per atom; total magnetization = 0.00 μB per atom; crystal system = tetragonal; ΔE to the lowest computed polymorph = 0.403 eV per atom; ΔH_f (0 K) = -0.5157 eV/atom
1.0
-3.4823 0.0126 -1.3976
-0.1914 -3.7211 0.4434
-0.3885 2.6303 6.0291
Pd Ac Bi
1 1 1
direct
0.3280 0.3280 0.6560
0.9790 0.9790 0.9580
0.6930 0.6930 0.3860



PBE-GGA Ac12BiPd6, optimized geometry; energy = -5.03 eV per atom; total magnetization = 0.00 μB per atom; crystal system = cubic; ΔH_f (0 K) = -0.5913 eV/atom
1.0
8.9842 0.0000 -3.1764
-4.4921 7.7805 -3.1764
0.0000 0.0000 9.5291
Pd Ac Bi
6 12 1
direct
0.6295 0.5000 0.1295
0.5000 0.8705 0.3705
0.5000 0.1295 0.6295
0.8705 0.3705 0.5000
0.1295 0.6295 0.5000
0.3705 0.5000 0.8705
0.8735 0.1818 0.6916
0.1818 0.3084 0.4902
0.4902 0.1818 0.3084
0.6916 0.8735 0.1818
0.1265 0.8182 0.3084
0.6916 0.5098 0.8182
0.3084 0.1265 0.8182
0.8182 0.6916 0.5098
0.8182 0.3084 0.1265
0.5098 0.8182 0.6916
0.1818 0.6916 0.8735
0.3084 0.4902 0.1818
0.0000 0.0000 0.0000



PBE-GGA AcBi12Pd6, optimized geometry; energy = -4.50 eV per atom; total magnetization = 0.00 μB per atom; crystal system = trigonal; ΔH_f (0 K) = -0.1959 eV/atom
1.0
8.5524 -0.2204 -0.3104
-2.3336 8.2308 -0.3104
-2.3336 -3.0059 7.6686
Bi Pd Ac
12 6 1
direct
0.5811 0.8388 0.5811
0.5811 0.5811 0.8388
0.8388 0.5811 0.5811
0.8845 0.1155 0.5000
0.1155 0.5000 0.8845
0.1612 0.4189 0.4189
0.5000 0.1155 0.8845
0.1155 0.8845 0.5000
0.5000 0.8845 0.1155
0.4189 0.4189 0.1612
0.4189 0.1612 0.4189
0.8845 0.5000 0.1155
0.2498 0.7404 0.7404
0.7404 0.2498 0.7404
0.7502 0.2596 0.2596
0.2596 0.2596 0.7502
0.7404 0.7404 0.2498
0.2596 0.7502 0.2596
0.0000 0.0000 0.0000